## NiNF3 (PBE with a Hubbard U)

Data for a relaxed NiNF3 crystal.

Summary:
Energy relative to the lowest polymorph listed for this composition ... 345 kJ/mol of formula units

abc: 3.893 3.893 3.893
angles: 90.00 90.00 90.00
Last column: magnetic moment on the atom in μB.
Atoms (fractional coordinates):
N  0.500  0.500  0.500  0.00
F  0.000  0.500  0.000  0.06
F  0.500  0.000  0.000  0.08
F  0.000  0.000  0.500  0.05
Ni  0.000  0.000  0.000  1.86